Entry from Alexandria: crystalline CaBe at its relaxed geometry (PBE).

Structure (POSCAR):
```
CaBe
1.0
8.1267 0.0000 0.0000
0.0000 8.1267 0.0000
0.0000 0.0000 8.1267
Ca Be
6 6
Cartesian
0.0000 2.0317 4.0634
0.0000 6.0951 4.0634
2.0317 4.0634 0.0000
4.0634 0.0000 2.0317
4.0634 0.0000 6.0951
6.0951 4.0634 0.0000
0.0000 4.0634 2.0317
0.0000 4.0634 6.0951
2.0317 0.0000 4.0634
4.0634 2.0317 0.0000
4.0634 6.0951 0.0000
6.0951 0.0000 4.0634
```

Calculated values
The relative energy among the computed polymorphs comes out at 1.1187 eV per atom. The symmetry is Pm-3n, No. 223. As for the density of states at the Fermi level: 1.14 states/eV per atom. The formation energy is 128.13 kJ per mole of atoms.